# SiPRh3

A relaxed SiPRh3 crystal (PBEsol, Alexandria via LeMat-Bulk).

```
SiPRh3
1.0
4.309 0.000 0.000
0.000 4.309 0.000
0.000 0.000 4.309
Si P Rh
1 1 3
Direct
0.000 0.000 0.000
0.500 0.500 0.500
0.000 0.500 0.500
0.500 0.000 0.500
0.500 0.500 0.000
```

Results
Size of the total moment = 0.00 μB per atom
Crystal system = cubic
DOS at the Fermi energy = 8.346 states/eV per cell
Total energy = -34.674 eV per cell